This record from Alexandria describes crystalline AcLa2SmTm5 at its relaxed geometry. The functional is PBE-GGA.

abc: 10.044 10.044 10.044
angles: 128.25 128.25 76.22
Sites, in units of the cell vectors:
1 Ac 0.250 0.250 0.000
2 Ac 0.750 0.750 0.000
3 La 0.117 0.617 0.734
4 La 0.383 0.117 0.500
5 La 0.617 0.883 0.500
6 La 0.883 0.383 0.266
7 Sm 0.250 0.750 0.500
8 Sm 0.750 0.250 0.500
9 Tm 0.000 0.000 0.000
10 Tm 0.075 0.153 0.500
11 Tm 0.153 0.653 0.077
12 Tm 0.347 0.425 0.500
13 Tm 0.425 0.925 0.077
14 Tm 0.500 0.500 0.000
15 Tm 0.575 0.075 0.923
16 Tm 0.653 0.575 0.500
17 Tm 0.847 0.347 0.923
18 Tm 0.925 0.847 0.500

Calculated values
* DFT formation energy: 215 kJ/mol of formula units
* total moment: 0.00 μB/cell
* electronic total energy: -77.6 eV for the cell shown

***

This record from Alexandria describes crystalline AcLa5Sm2Tm at its relaxed geometry. The functional is PBE-GGA.

abc: 10.028 10.028 10.028
angles: 123.71 123.71 83.69
Sites, in units of the cell vectors:
1 Ac 0.250 0.250 0.000
2 Ac 0.750 0.750 0.000
3 La 0.000 0.000 0.000
4 La 0.071 0.571 0.904
5 La 0.167 0.071 0.500
6 La 0.333 0.833 0.904
7 La 0.429 0.333 0.500
8 La 0.500 0.500 0.000
9 La 0.571 0.667 0.500
10 La 0.667 0.167 0.096
11 La 0.833 0.929 0.500
12 La 0.929 0.429 0.096
13 Sm 0.111 0.389 0.500
14 Sm 0.389 0.889 0.278
15 Sm 0.611 0.111 0.722
16 Sm 0.889 0.611 0.500
17 Tm 0.250 0.750 0.500
18 Tm 0.750 0.250 0.500

Calculated values
* DFT formation energy: 225 kJ/mol of formula units
* total moment: 0.00 μB/cell
* electronic total energy: -80.7 eV for the cell shown

***

This record from Alexandria describes crystalline AcLaSm2Y5 at its relaxed geometry. The functional is PBE-GGA.

abc: 10.113 10.113 10.113
angles: 128.00 128.00 76.63
Sites, in units of the cell vectors:
1 Ac 0.250 0.250 0.000
2 Ac 0.750 0.750 0.000
3 La 0.250 0.750 0.500
4 La 0.750 0.250 0.500
5 Sm 0.117 0.617 0.734
6 Sm 0.383 0.117 0.500
7 Sm 0.617 0.883 0.500
8 Sm 0.883 0.383 0.266
9 Y 0.000 0.000 0.000
10 Y 0.074 0.166 0.500
11 Y 0.166 0.666 0.093
12 Y 0.334 0.426 0.500
13 Y 0.426 0.926 0.093
14 Y 0.500 0.500 0.000
15 Y 0.574 0.074 0.907
16 Y 0.666 0.574 0.500
17 Y 0.834 0.334 0.907
18 Y 0.926 0.834 0.500

Calculated values
* DFT formation energy: 194 kJ/mol of formula units
* total moment: 0.00 μB/cell
* electronic total energy: -97.6 eV for the cell shown